RbGa2Re: optimized geometry, PBE.

Properties
The energy above the most stable polymorph in this dataset comes out at 0.0 kJ/mol of atoms.

abc: 6.6882 6.6882 8.3181
angles: 66.30 66.30 90.00
Fractional positions:
Re: 0.0000 0.0000 0.0000
Re: 0.7500 0.2500 0.5000
Ga: 0.8749 0.1250 0.2500
Ga: 0.8751 0.6250 0.2500
Ga: 0.3750 0.1251 0.7500
Ga: 0.8750 0.1249 0.7500
Rb: 0.5000 0.5000 0.0000
Rb: 0.2500 0.7500 0.5000

=====

RbGaRe2: optimized geometry, PBE.

abc: 4.7064 4.7064 9.9208
angles: 76.28 76.28 90.00
Fractional positions:
Re: 0.4386 0.1250 0.2500
Re: 0.3114 0.6250 0.2500
Re: 0.3750 0.5614 0.7500
Re: 0.8750 0.6886 0.7500
Ga: 0.5000 0.5000 0.0000
Ga: 0.2500 0.7500 0.5000
Rb: 0.0000 0.0000 0.0000
Rb: 0.7500 0.2500 0.5000

=====

RbGaReRu2: optimized geometry, PBE.

abc: 4.7848 5.0961 4.7848
angles: 90.00 90.00 90.00
Fractional positions:
Re: 0.0000 0.0000 0.0000
Ga: 0.0000 0.5000 0.0000
Rb: 0.5000 0.5000 0.5000
Ru: 0.0000 0.0000 0.5000
Ru: 0.5000 0.0000 0.0000

=====

RbGa2ReSn: optimized geometry, PBE.

abc: 5.0291 5.0291 5.1837
angles: 90.00 90.00 90.00
Fractional positions:
Re: 0.0000 0.0000 0.0000
Ga: 0.0000 0.5000 0.0000
Ga: 0.5000 0.0000 0.0000
Sn: 0.0000 0.0000 0.5000
Rb: 0.5000 0.5000 0.5000

=====

Rb2Ga4Rh: optimized geometry, PBE.

abc: 4.8592 4.8592 10.0405
angles: 76.00 76.00 90.00
Fractional positions:
Rh: 0.0000 0.0000 0.0000
Ga: 0.8706 0.8706 0.2588
Ga: 0.1294 0.1294 0.7412
Ga: 0.0000 0.5000 0.0000
Ga: 0.5000 0.0000 0.0000
Rb: 0.6680 0.6680 0.6639
Rb: 0.3320 0.3320 0.3361

=====

RbGaRh2: optimized geometry, PBE.

abc: 5.0163 5.0163 9.3070
angles: 74.37 74.37 90.00
Fractional positions:
Rh: 0.3887 0.1250 0.2500
Rh: 0.3613 0.6250 0.2500
Rh: 0.3750 0.6113 0.7500
Rh: 0.8750 0.6387 0.7500
Ga: 0.5000 0.5000 0.0000
Ga: 0.2500 0.7500 0.5000
Rb: 0.0000 0.0000 0.0000
Rb: 0.7500 0.2500 0.5000

=====

| no. | formation energy from the elements (eV/f.u.) | final energy (eV/atom) |
| --- | --- | --- |
| 1 | 2.45 | -4.2538 |
| 2 | 5.65 | -5.8111 |
| 3 | 5.52 | -5.8942 |
| 4 | -0.20 | -4.7337 |
| 5 | -0.66 | -3.1502 |
| 6 | 1.39 | -4.3262 |